(1)
Computed, not measured: a geometry-optimized Ti7Au2C2 structure at the PBE level of DFT.

Computed properties:
**Raw total energy**: -83.1 eV for the cell shown
**Fermi-level density of states**: 12.618 states/eV/cell
**Mass density**: 7.298 Mg/m³

a = 5.451 Å, b = 5.953 Å, c = 5.451 Å
α = 90.00°, β = 104.40°, γ = 90.00°
Fractional positions:
Au 0.194 0.500 0.194
Au 0.806 0.500 0.806
Ti 0.500 0.784 0.500
Ti 0.000 0.773 0.500
Ti 0.500 0.773 0.000
Ti 0.000 0.227 0.500
Ti 0.500 0.216 0.500
Ti 0.500 0.227 0.000
Ti 0.000 0.000 0.000
C 0.270 0.000 0.730
C 0.730 0.000 0.270


(2)
Computed, not measured: a geometry-optimized Ti2VAuC structure at the PBE level of DFT.

Computed properties:
**Fermi-level density of states**: 6.082 states/eV/cell
**Polymorph energy (0 for the lowest one)**: 2596 meV/atom
**Mass density**: 5.248 Mg/m³

a = 4.852 Å, b = 4.781 Å, c = 4.852 Å
α = 90.00°, β = 90.00°, γ = 90.00°
Fractional positions:
C 0.500 0.500 0.500
Au 0.000 0.000 0.000
Ti 0.000 0.000 0.500
Ti 0.500 0.000 0.000
V 0.000 0.500 0.000